PBE-GGA Ac6CdFe2, optimized geometry; density of states at the Fermi level = 21.4 states/eV/cell; volume = 603.0 Å³/cell; formation enthalpy at 0 K = 0.059 eV/atom; M_tot = 1.8 μB per formula unit
1.0
8.511 0.645 -3.496
-4.738 7.609 -2.175
0.063 -0.645 9.201
Ac Fe Cd
12 4 2
Cartesian
-2.840 6.994 4.267 Ac
6.823 1.499 3.054 Ac
6.676 0.615 -0.737 Ac
-2.986 6.110 0.476 Ac
4.168 4.350 3.031 Ac
3.122 1.499 0.592 Ac
2.653 5.327 -0.579 Ac
4.264 2.927 -3.000 Ac
-0.332 3.259 0.499 Ac
0.714 6.110 2.939 Ac
1.184 2.282 4.109 Ac
-0.427 4.682 6.531 Ac
0.024 6.901 -0.036 Fe
1.245 2.723 -1.871 Fe
3.812 0.707 3.566 Fe
2.528 5.530 -3.799 Fe
0.000 0.000 0.000 Cd
-2.338 3.482 3.513 Cd

---

PBE-GGA Ac4Cd2Fe, optimized geometry; density of states at the Fermi level = 10.4 states/eV/cell; volume = 249.0 Å³/cell; formation enthalpy at 0 K = -0.001 eV/atom; M_tot = 0.0 μB per formula unit
1.0
5.394 0.000 0.000
0.000 5.394 0.000
-2.697 -2.697 8.559
Cd Ac Fe
2 4 1
Cartesian
0.000 0.000 6.271 Cd
2.697 2.697 2.288 Cd
0.000 0.000 2.953 Ac
2.697 2.697 5.606 Ac
0.000 2.697 0.000 Ac
2.697 0.000 0.000 Ac
0.000 0.000 0.000 Fe

---

Repeat the first record exactly.
PBE-GGA Ac6CdFe2, optimized geometry; density of states at the Fermi level = 21.4 states/eV/cell; volume = 603.0 Å³/cell; formation enthalpy at 0 K = 0.059 eV/atom; M_tot = 1.8 μB per formula unit
1.0
8.511 0.645 -3.496
-4.738 7.609 -2.175
0.063 -0.645 9.201
Ac Fe Cd
12 4 2
Cartesian
-2.840 6.994 4.267 Ac
6.823 1.499 3.054 Ac
6.676 0.615 -0.737 Ac
-2.986 6.110 0.476 Ac
4.168 4.350 3.031 Ac
3.122 1.499 0.592 Ac
2.653 5.327 -0.579 Ac
4.264 2.927 -3.000 Ac
-0.332 3.259 0.499 Ac
0.714 6.110 2.939 Ac
1.184 2.282 4.109 Ac
-0.427 4.682 6.531 Ac
0.024 6.901 -0.036 Fe
1.245 2.723 -1.871 Fe
3.812 0.707 3.566 Fe
2.528 5.530 -3.799 Fe
0.000 0.000 0.000 Cd
-2.338 3.482 3.513 Cd